Density functional theory data (GGA-PBE) for a geometry-optimized BaNpCl6 structure.

Unit cell a=7.0802 b=7.0864 c=7.7575 alpha=62.74 beta=62.72 gamma=59.86
Last column: nearest neighbours and their distance in Å.
Fractional coordinates of all 8 atoms:
Cl 0.3873 0.7836 0.7696  1 Np 2.62
Cl 0.9411 0.6131 0.2307  1 Np 2.62
Cl 0.6127 0.2164 0.2304  1 Np 2.62
Cl 0.0589 0.3869 0.7693  1 Np 2.62
Cl 0.7835 0.0592 0.7706  1 Np 2.62
Cl 0.2165 0.9408 0.2294  1 Np 2.62
Ba 0.5000 0.5000 0.5000  6 Cl 3.12
Np 0.0000 0.0000 0.0000  6 Cl 2.62

crystal system: triclinic
formation energy without anion corrections: -1.964 eV per atom